Entry 1:
The following is a PBE calculation of an optimized crystal structure of LiCa2Tb3Te6, from Alexandria via LeMat-Bulk.

a b c (Å): 7.567 7.567 7.730
angles (deg): 99.42 99.42 120.02
Element x y z (fractional)
Li1 0.000 0.000 0.000
Ca1 0.335 0.665 0.000
Ca2 0.665 0.335 0.000
Tb1 0.170 0.830 0.500
Tb2 0.500 0.500 0.500
Tb3 0.830 0.170 0.500
Te1 0.082 0.408 0.249
Te2 0.241 0.241 0.748
Te3 0.408 0.082 0.249
Te4 0.592 0.918 0.751
Te5 0.759 0.759 0.252
Te6 0.918 0.592 0.751

SG: C2/m



Entry 2:
The following is a PBE calculation of an optimized crystal structure of LiCaTb2Te4, from Alexandria via LeMat-Bulk.

a b c (Å): 7.547 4.370 7.694
angles (deg): 90.00 109.09 90.00
Element x y z (fractional)
Li1 0.000 0.000 0.000
Ca1 0.500 0.500 0.000
Tb1 0.000 0.500 0.500
Tb2 0.500 0.000 0.500
Te1 0.244 0.000 0.750
Te2 0.244 0.500 0.248
Te3 0.756 0.000 0.250
Te4 0.756 0.500 0.752

SG: P2/m



no.,total magnetization (μB/f.u.),E_form (uncorrected) (eV per atom),D(E_F) (states/eV/cell)
1,0.00,-1.422,3.3
2,0.00,-1.393,2.6